# 1
The following is a DFT calculation (PBE) of an optimized crystal structure of TlPd6Pb2.

Geometry as POSCAR:
```
TlPd6Pb2
1.0
-2.285 -2.086 -1.049
0.428 -3.821 6.669
-4.050 7.069 -0.133
Tl Pd Pb
1 6 2
Cartesian
0.000 0.000 0.000 Tl
-1.573 0.607 2.231 Pd
-4.591 2.843 -0.737 Pd
-4.335 0.554 3.256 Pd
-1.015 -2.184 1.467 Pd
-1.317 -1.681 6.225 Pd
-0.843 -3.723 4.153 Pd
-2.583 -1.582 3.702 Pb
-3.324 2.744 1.786 Pb
```

Results
density of states at the Fermi level: 3.11 states/eV/cell
magnetic moment: 0.00 μB per formula unit
energy relative to the elements: -12.2 kJ/mol of atoms


# 2
The following is a DFT calculation (PBE) of an optimized crystal structure of TbNdPa2As4.

Geometry as POSCAR:
```
TbNdPa2As4
1.0
-1.361 -3.838 0.757
6.725 -2.115 1.363
1.412 0.876 6.980
Tb Nd Pa As
1 1 2 4
Cartesian
4.068 -0.620 4.172 Tb
2.682 -2.977 1.060 Nd
1.412 0.876 6.980 Pa
0.026 -1.481 3.869 Pa
6.162 -0.958 6.221 As
0.614 -4.120 2.879 As
4.768 -3.302 3.164 As
2.008 -1.776 5.936 As
```

Results
density of states at the Fermi level: 7.88 states/eV/cell
magnetic moment: 0.00 μB per formula unit
energy relative to the elements: -123.5 kJ/mol of atoms


# 3
The following is a DFT calculation (PBE) of an optimized crystal structure of MgAlSbI2.

Geometry as POSCAR:
```
MgAlSbI2
1.0
-0.030 -4.643 3.404
5.670 -0.611 -0.783
0.963 3.245 4.435
I Sb Mg Al
2 1 1 1
Cartesian
2.835 -0.306 -0.392 I
-0.015 -2.321 1.702 I
0.481 1.623 2.218 Sb
0.000 0.000 0.000 Mg
3.301 -1.004 3.528 Al
```

Results
density of states at the Fermi level: 3.38 states/eV/cell
formation energy (no corrections): 0.147 eV per atom
excess energy over the best structure of this formula in the dataset: 0.0228 eV/atom
magnetic moment: 1.00 μB per formula unit


# 4
The following is a DFT calculation (PBE) of an optimized crystal structure of ScGe3H.

Geometry as POSCAR:
```
ScGe3H
1.0
5.198 0.000 0.000
0.000 5.198 0.000
0.000 0.000 5.198
Sc H Ge
1 1 3
Cartesian
0.000 0.000 0.000 Sc
2.599 2.599 2.599 H
0.000 2.599 0.000 Ge
0.000 0.000 2.599 Ge
2.599 0.000 0.000 Ge
```

Results
density of states at the Fermi level: 4.30 states/eV/cell
excess energy over the best structure of this formula in the dataset: 1.0391 eV/atom
magnetic moment: 0.93 μB per formula unit


# 5
The following is a DFT calculation (PBE) of an optimized crystal structure of MgAlW2.

Geometry as POSCAR:
```
MgAlW2
1.0
3.294 0.000 0.000
0.000 3.294 0.000
0.000 0.000 6.196
Al Mg W
1 1 2
Cartesian
0.000 0.000 3.036 Al
1.647 1.647 4.634 Mg
0.000 0.000 0.175 W
1.647 1.647 1.449 W
```

Results
density of states at the Fermi level: 2.94 states/eV/cell
excess energy over the best structure of this formula in the dataset: 0.0000 eV/atom
magnetic moment: 0.00 μB per formula unit
energy relative to the elements: 14.7 kJ/mol of atoms


# 6
The following is a DFT calculation (PBE) of an optimized crystal structure of Li2Pm3Cd4.

Geometry as POSCAR:
```
Li2Pm3Cd4
1.0
5.300 0.000 0.000
-2.650 4.703 0.167
0.000 -1.659 9.037
Li Pm Cd
2 3 4
Cartesian
2.650 1.433 3.694 Li
0.000 1.611 5.510 Li
2.650 -0.039 6.712 Pm
0.000 0.000 0.000 Pm
0.000 3.084 2.492 Pm
2.650 1.582 0.953 Cd
0.000 1.463 8.251 Cd
2.650 3.101 5.911 Cd
0.000 -0.056 3.292 Cd
```

Results
density of states at the Fermi level: 7.41 states/eV/cell
magnetic moment: 0.00 μB per formula unit
energy relative to the elements: -23.9 kJ/mol of atoms


# 7
The following is a DFT calculation (PBE) of an optimized crystal structure of Tm5AlSn2.

Geometry as POSCAR:
```
Tm5AlSn2
1.0
3.944 0.000 0.000
-1.972 5.611 0.000
0.000 0.000 19.122
Tm Al Sn
10 2 4
Cartesian
1.972 4.945 17.035 Tm
1.972 4.945 11.648 Tm
0.000 4.012 9.005 Tm
0.000 4.012 0.556 Tm
0.000 5.059 4.780 Tm
1.972 0.552 14.341 Tm
1.972 1.599 10.117 Tm
1.972 1.599 18.566 Tm
0.000 0.666 2.087 Tm
0.000 0.666 7.474 Tm
1.972 3.661 14.341 Al
0.000 1.951 4.780 Al
1.972 3.079 6.588 Sn
1.972 3.079 2.973 Sn
0.000 2.532 12.534 Sn
0.000 2.532 16.149 Sn
```

Results
density of states at the Fermi level: 12.72 states/eV/cell
magnetic moment: 0.00 μB per formula unit
energy relative to the elements: -30.1 kJ/mol of atoms


# 8
The following is a DFT calculation (PBE) of an optimized crystal structure of DyErAlCr.

Geometry as POSCAR:
```
DyErAlCr
1.0
5.074 0.000 0.000
2.537 4.395 0.000
2.537 1.465 4.143
Cr Dy Al Er
1 1 1 1
Cartesian
7.612 4.395 3.107 Cr
0.000 0.000 0.000 Dy
2.537 1.465 1.036 Al
5.074 2.930 2.072 Er
```

Results
density of states at the Fermi level: 2.89 states/eV/cell
magnetic moment: 3.86 μB per formula unit
energy relative to the elements: -2.7 kJ/mol of atoms


# 9
The following is a DFT calculation (PBE) of an optimized crystal structure of Al8NiIr2.

Geometry as POSCAR:
```
Al8NiIr2
1.0
3.946 0.000 -1.201
-1.139 6.592 -3.744
-0.094 -0.627 6.774
Al Ni Ir
8 1 2
Cartesian
1.569 5.545 -1.927 Al
0.655 3.246 2.151 Al
0.343 0.700 1.128 Al
-0.373 2.158 -1.226 Al
2.369 5.265 0.701 Al
2.058 2.720 -0.322 Al
1.143 0.420 3.756 Al
3.086 3.807 3.055 Al
1.973 0.000 -0.601 Ni
-0.017 4.423 -0.056 Ir
2.729 1.542 1.885 Ir
```

Results
density of states at the Fermi level: 2.72 states/eV/cell
magnetic moment: 0.00 μB per formula unit
energy relative to the elements: -51.2 kJ/mol of atoms


# 10
The following is a DFT calculation (PBE) of an optimized crystal structure of Sc2SiF.

Geometry as POSCAR:
```
Sc2SiF
1.0
0.000 3.248 3.248
3.248 0.000 3.248
3.248 3.248 0.000
Sc Si F
2 1 1
Cartesian
1.624 1.624 1.624 Sc
4.872 4.872 4.872 Sc
3.248 3.248 3.248 Si
0.000 0.000 0.000 F
```

Results
density of states at the Fermi level: 4.03 states/eV/cell
formation energy (no corrections): -1.209 eV per atom
excess energy over the best structure of this formula in the dataset: 0.3482 eV/atom
magnetic moment: 0.66 μB per formula unit


# 11
The following is a DFT calculation (PBE) of an optimized crystal structure of Na3La2TbS6.

Geometry as POSCAR:
```
Na3La2TbS6
1.0
-1.324 -4.165 5.722
0.698 -2.962 -6.525
6.760 1.686 1.282
Na La Tb S
3 2 1 6
Cartesian
3.744 -2.318 -3.862 Na
2.390 -3.123 4.341 Na
3.067 -2.720 0.239 Na
0.024 -3.363 -2.444 La
-0.650 -3.764 1.641 La
0.000 0.000 0.000 Tb
4.386 -4.326 2.347 S
1.083 -4.988 -0.311 S
1.747 -1.115 -1.868 S
5.038 -3.938 -1.602 S
5.050 -0.453 0.789 S
1.095 -1.503 2.081 S
```

Results
density of states at the Fermi level: 0.00 states/eV/cell
formation energy (no corrections): -1.849 eV per atom
magnetic moment: 0.00 μB per formula unit